Here is an optimized crystal structure of Tc3Sb from Alexandria. Energies are from PBE.

```
data_Tc3Sb
_chemical_formula_sum 'Tc3 Sb1'
_space_group_name_H-M_alt 'P 1'
_space_group_IT_number 1
_cell_length_a 4.066
_cell_length_b 2.988
_cell_length_c 6.086
_cell_angle_alpha 60.61
_cell_angle_beta 90.00
_cell_angle_gamma 90.00
loop_
_space_group_symop_operation_xyz
'x,y,z'
loop_
_atom_site_label
_atom_site_type_symbol
_atom_site_fract_x
_atom_site_fract_y
_atom_site_fract_z
Tc1 Tc 0.500 0.238 0.262
Tc2 Tc 0.500 0.762 0.738
Tc3 Tc 0.000 0.500 0.500
Sb1 Sb 0.000 0.000 0.000
```

Computed properties:
energy above the lowest structure with this stoichiometry: 0.064 eV per atom
spin magnetization: 0.00 μB per cell
space-group type: Pmmm
ΔE_f (raw): 25 kJ per mole of atoms

Here is an optimized crystal structure of Tc3Sb from Alexandria. Energies are from PBE.

```
data_Tc3Sb
_chemical_formula_sum 'Tc3 Sb1'
_space_group_name_H-M_alt 'P 1'
_space_group_IT_number 1
_cell_length_a 8.839
_cell_length_b 8.839
_cell_length_c 8.839
_cell_angle_alpha 19.17
_cell_angle_beta 19.17
_cell_angle_gamma 19.17
loop_
_space_group_symop_operation_xyz
'x,y,z'
loop_
_atom_site_label
_atom_site_type_symbol
_atom_site_fract_x
_atom_site_fract_y
_atom_site_fract_z
Tc1 Tc 0.247 0.247 0.247
Tc2 Tc 0.500 0.500 0.500
Tc3 Tc 0.753 0.753 0.753
Sb1 Sb 0.000 0.000 0.000
```

Computed properties:
energy above the lowest structure with this stoichiometry: 0.128 eV per atom
spin magnetization: 0.00 μB per cell
space-group type: R-3m
ΔE_f (raw): 31 kJ per mole of atoms

Here is an optimized crystal structure of Tc3Sb from Alexandria. Energies are from PBE.

```
data_Tc3Sb
_chemical_formula_sum 'Tc3 Sb1'
_space_group_name_H-M_alt 'P 1'
_space_group_IT_number 1
_cell_length_a 4.915
_cell_length_b 4.915
_cell_length_c 4.691
_cell_angle_alpha 80.46
_cell_angle_beta 80.46
_cell_angle_gamma 35.24
loop_
_space_group_symop_operation_xyz
'x,y,z'
loop_
_atom_site_label
_atom_site_type_symbol
_atom_site_fract_x
_atom_site_fract_y
_atom_site_fract_z
Tc1 Tc 0.760 0.760 0.725
Tc2 Tc 0.240 0.240 0.275
Tc3 Tc 0.500 0.500 0.500
Sb1 Sb 0.000 0.000 0.000
```

Computed properties:
energy above the lowest structure with this stoichiometry: 0.037 eV per atom
spin magnetization: 0.00 μB per cell
space-group type: C2/m
ΔE_f (raw): 23 kJ per mole of atoms

Here is an optimized crystal structure of TcSb3 from Alexandria. Energies are from PBE.

```
data_TcSb3
_chemical_formula_sum 'Tc2 Sb6'
_space_group_name_H-M_alt 'P 1'
_space_group_IT_number 1
_cell_length_a 5.673
_cell_length_b 5.673
_cell_length_c 5.673
_cell_angle_alpha 90.00
_cell_angle_beta 90.00
_cell_angle_gamma 90.00
loop_
_space_group_symop_operation_xyz
'x,y,z'
loop_
_atom_site_label
_atom_site_type_symbol
_atom_site_fract_x
_atom_site_fract_y
_atom_site_fract_z
Tc1 Tc 0.000 0.000 0.000
Tc2 Tc 0.500 0.500 0.500
Sb1 Sb 0.500 0.000 0.750
Sb2 Sb 0.750 0.500 0.000
Sb3 Sb 0.500 0.000 0.250
Sb4 Sb 0.250 0.500 0.000
Sb5 Sb 0.000 0.750 0.500
Sb6 Sb 0.000 0.250 0.500
```

Computed properties:
energy above the lowest structure with this stoichiometry: 0.519 eV per atom
spin magnetization: 1.82 μB per cell
space-group type: Pm-3n
ΔE_f (raw): 53 kJ per mole of atoms